VASP calculation (PBE-GGA) on a relaxed structure of Ta2BiAu.

Formation energy ... 594 meV per atom
SG ... I-42d
Raw total energy ... -28.49 eV/f.u.
Fermi-level density of states ... 0.610 states/eV per atom
V ... 172.8 Å³ per cell
M_tot ... 0.000 μB per cell

abc: 4.0786 4.0786 10.7780
angles: 79.09 79.09 90.00
Sites, in units of the cell vectors:
1 Au 0.5000 0.5000 0.0000
2 Au 0.2500 0.7500 0.5000
3 Bi 0.0000 0.0000 0.0000
4 Bi 0.7500 0.2500 0.5000
5 Ta 0.6194 0.1250 0.2500
6 Ta 0.1306 0.6250 0.2500
7 Ta 0.3750 0.3806 0.7500
8 Ta 0.8750 0.8694 0.7500